Model P:
Density functional theory data (PBE) for ZrTeS2Cl after structural relaxation.

Cell: 5.0599 5.0599 4.9690 Å, 90.00 90.00 90.00°
Last column: nearest neighbours and their distance in Å.
Space group P4/mmm (No. 123)
One atom of each set of equivalent atoms:
Zr: 0.0000 0.0000 0.0000 (multiplicity 1)  2 Cl 2.48, 4 S 2.53
Te: 0.5000 0.5000 0.5000 (multiplicity 1)  8 S 3.55, 4 Cl 3.58
S: 0.0000 0.5000 0.0000 (multiplicity 2)  2 Zr 2.53
Cl: 0.0000 0.0000 0.5000 (multiplicity 1)  2 Zr 2.48

## Properties
**DOS(E_F)**: 0.892 states/eV per atom



Model Q:
Density functional theory data (PBE) for ZrTeS2Cl after structural relaxation.

Cell: 5.2098 5.2098 4.9801 Å, 90.00 90.00 90.00°
Last column: nearest neighbours and their distance in Å.
Space group P4/mmm (No. 123)
One atom of each set of equivalent atoms:
Zr: 0.0000 0.0000 0.0000 (multiplicity 1)  8 S 3.60, 4 Cl 3.68
Te: 0.5000 0.5000 0.5000 (multiplicity 1)  2 Cl 2.49, 4 S 2.60
S: 0.0000 0.5000 0.5000 (multiplicity 2)  2 Te 2.60
Cl: 0.5000 0.5000 0.0000 (multiplicity 1)  2 Te 2.49

## Properties
**DOS(E_F)**: 0.710 states/eV per atom



Result of the stability comparison: model Q is the least stable of them.



Model P:
Density functional theory data (PBE) for ZrTeSCl2 after structural relaxation.

Cell: 5.3162 5.3162 5.2727 Å, 90.00 90.00 90.00°
Last column: nearest neighbours and their distance in Å.
Space group P4/mmm (No. 123)
One atom of each set of equivalent atoms:
Zr: 0.0000 0.0000 0.0000 (multiplicity 1)  8 Cl 3.74, 4 S 3.76
Te: 0.5000 0.5000 0.5000 (multiplicity 1)  2 S 2.64, 4 Cl 2.66
S: 0.5000 0.5000 0.0000 (multiplicity 1)  2 Te 2.64
Cl: 0.0000 0.5000 0.5000 (multiplicity 2)  2 Te 2.66

## Properties
**DOS(E_F)**: 0.975 states/eV per atom



Model Q:
Density functional theory data (PBE) for ZrTeSCl2 after structural relaxation.

Cell: 5.1583 5.1583 5.0074 Å, 90.00 90.00 90.00°
Last column: nearest neighbours and their distance in Å.
Space group P4/mmm (No. 123)
One atom of each set of equivalent atoms:
Zr: 0.0000 0.0000 0.0000 (multiplicity 1)  2 S 2.50, 4 Cl 2.58
Te: 0.5000 0.5000 0.5000 (multiplicity 1)  8 Cl 3.59, 4 S 3.65
S: 0.0000 0.0000 0.5000 (multiplicity 1)  2 Zr 2.50
Cl: 0.0000 0.5000 0.0000 (multiplicity 2)  2 Zr 2.58

## Properties
**DOS(E_F)**: 0.703 states/eV per atom



Result of the stability comparison: model P is the least stable of them.



Model P:
Density functional theory data (PBE) for Ti2SCl after structural relaxation.

Cell: 6.1612 6.1612 6.1612 Å, 90.00 90.00 90.00°
Last column: nearest neighbours and their distance in Å.
Space group Fm-3m (No. 225)
One atom of each set of equivalent atoms:
Ti: 0.2500 0.2500 0.2500 (multiplicity 8)  4 S 2.67, 4 Cl 2.67
S: 0.0000 0.0000 0.0000 (multiplicity 4)  8 Ti 2.67
Cl: 0.0000 0.0000 0.5000 (multiplicity 4)  8 Ti 2.67

## Properties
**DOS(E_F)**: 1.860 states/eV per atom



Model Q:
Density functional theory data (PBE) for Ti2SCl after structural relaxation.

Cell: 5.6893 5.6893 10.3709 Å, 90.00 90.00 90.00°
Last column: nearest neighbours and their distance in Å.
Space group I-42d (No. 122)
One atom of each set of equivalent atoms:
Ti: 0.2397 0.2500 0.1250 (multiplicity 8)  2 S 2.36, 2 Cl 2.43
S: 0.0000 0.0000 0.0000 (multiplicity 4)  4 Ti 2.36
Cl: 0.0000 0.0000 0.5000 (multiplicity 4)  4 Ti 2.43

## Properties
**DOS(E_F)**: 1.164 states/eV per atom



Result of the stability comparison: model Q is the least stable of them.



Model P:
Density functional theory data (PBE) for TiS2Cl after structural relaxation.

Cell: 6.3532 6.3532 10.3703 Å, 90.00 90.00 90.00°
Last column: nearest neighbours and their distance in Å.
Space group I-42d (No. 122)
One atom of each set of equivalent atoms:
Ti: 0.0000 0.0000 0.0000 (multiplicity 4)  4 S 2.28
S: 0.1572 0.2500 0.1250 (multiplicity 8)  2 Ti 2.28
Cl: 0.0000 0.0000 0.5000 (multiplicity 4)  4 S 2.99

## Properties
**DOS(E_F)**: 1.327 states/eV per atom



Model Q:
Density functional theory data (PBE) for TiS2Cl after structural relaxation.

Cell: 3.3797 3.3797 25.5339 Å, 90.00 90.00 120.00°
Last column: nearest neighbours and their distance in Å.
Space group R-3m (No. 166, hexagonal axes)
One atom of each set of equivalent atoms:
Ti: 0.0000 0.0000 0.0000 (multiplicity 3)  2 S 2.18
S: 0.0000 0.0000 0.0855 (multiplicity 6)  1 Ti 2.18
Cl: 0.0000 0.0000 0.5000 (multiplicity 3)  6 S 2.85

## Properties
**DOS(E_F)**: 1.210 states/eV per atom



Model R:
Density functional theory data (PBE) for TiS2Cl after structural relaxation.

Cell: 6.3952 6.3952 6.3952 Å, 90.00 90.00 90.00°
Last column: nearest neighbours and their distance in Å.
Space group Fm-3m (No. 225)
One atom of each set of equivalent atoms:
Ti: 0.0000 0.0000 0.0000 (multiplicity 4)  8 S 2.77
S: 0.2500 0.2500 0.2500 (multiplicity 8)  4 Cl 2.77, 4 Ti 2.77
Cl: 0.0000 0.0000 0.5000 (multiplicity 4)  8 S 2.77

## Properties
**DOS(E_F)**: 0.345 states/eV per atom



Result of the stability comparison: model Q is the least stable of them.



Model P:
Density functional theory data (PBE) for TiTlS2Cl after structural relaxation.

Cell: 4.7643 4.7643 5.0373 Å, 90.00 90.00 90.00°
Last column: nearest neighbours and their distance in Å.
Space group P4/mmm (No. 123)
One atom of each set of equivalent atoms:
Ti: 0.0000 0.0000 0.0000 (multiplicity 1)  4 S 2.38, 2 Cl 2.52
Tl: 0.5000 0.5000 0.5000 (multiplicity 1)  4 Cl 3.37, 8 S 3.47
S: 0.0000 0.5000 0.0000 (multiplicity 2)  2 Ti 2.38
Cl: 0.0000 0.0000 0.5000 (multiplicity 1)  2 Ti 2.52

## Properties
**DOS(E_F)**: 0.422 states/eV per atom



Model Q:
Density functional theory data (PBE) for TiTlS2Cl after structural relaxation.

Cell: 5.1105 5.1105 5.1329 Å, 90.00 90.00 90.00°
Last column: nearest neighbours and their distance in Å.
Space group P4/mmm (No. 123)
One atom of each set of equivalent atoms:
Ti: 0.0000 0.0000 0.0000 (multiplicity 1)  4 Cl 3.61, 8 S 3.62
Tl: 0.5000 0.5000 0.5000 (multiplicity 1)  4 S 2.56, 2 Cl 2.57
S: 0.0000 0.5000 0.5000 (multiplicity 2)  2 Tl 2.56
Cl: 0.5000 0.5000 0.0000 (multiplicity 1)  2 Tl 2.57

## Properties
**DOS(E_F)**: 2.184 states/eV per atom



Result of the stability comparison: model Q is the least stable of them.



Model P:
Density functional theory data (PBE) for TiWS2Cl after structural relaxation.

Cell: 4.7904 4.7904 4.5378 Å, 90.00 90.00 90.00°
Last column: nearest neighbours and their distance in Å.
Space group P4/mmm (No. 123)
One atom of each set of equivalent atoms:
Ti: 0.0000 0.0000 0.0000 (multiplicity 1)  2 Cl 2.27, 4 S 2.40
W: 0.5000 0.5000 0.5000 (multiplicity 1)  8 S 3.30, 4 Cl 3.39
S: 0.0000 0.5000 0.0000 (multiplicity 2)  2 Ti 2.40
Cl: 0.0000 0.0000 0.5000 (multiplicity 1)  2 Ti 2.27

## Properties
**DOS(E_F)**: 0.517 states/eV per atom



Model Q:
Density functional theory data (PBE) for TiWS2Cl after structural relaxation.

Cell: 4.6471 4.6471 4.8776 Å, 90.00 90.00 90.00°
Last column: nearest neighbours and their distance in Å.
Space group P4/mmm (No. 123)
One atom of each set of equivalent atoms:
Ti: 0.0000 0.0000 0.0000 (multiplicity 1)  4 Cl 3.29, 8 S 3.37
W: 0.5000 0.5000 0.5000 (multiplicity 1)  4 S 2.32, 2 Cl 2.44
S: 0.0000 0.5000 0.5000 (multiplicity 2)  2 W 2.32
Cl: 0.5000 0.5000 0.0000 (multiplicity 1)  2 W 2.44

## Properties
**DOS(E_F)**: 2.224 states/eV per atom



Result of the stability comparison: model P is the least stable of them.



Model P:
Density functional theory data (PBE) for TiZnS2Cl after structural relaxation.

Cell: 4.6906 4.6906 4.6596 Å, 90.00 90.00 90.00°
Last column: nearest neighbours and their distance in Å.
Space group P4/mmm (No. 123)
One atom of each set of equivalent atoms:
Ti: 0.0000 0.0000 0.0000 (multiplicity 1)  8 S 3.31, 4 Cl 3.32
Zn: 0.5000 0.5000 0.5000 (multiplicity 1)  2 Cl 2.33, 4 S 2.35
S: 0.0000 0.5000 0.5000 (multiplicity 2)  2 Zn 2.35
Cl: 0.5000 0.5000 0.0000 (multiplicity 1)  2 Zn 2.33

## Properties
**DOS(E_F)**: 1.300 states/eV per atom



Model Q:
Density functional theory data (PBE) for TiZnS2Cl after structural relaxation.

Cell: 4.7290 4.7290 4.8074 Å, 90.00 90.00 90.00°
Last column: nearest neighbours and their distance in Å.
Space group P4/mmm (No. 123)
One atom of each set of equivalent atoms:
Ti: 0.0000 0.0000 0.0000 (multiplicity 1)  4 S 2.36, 2 Cl 2.40
Zn: 0.5000 0.5000 0.5000 (multiplicity 1)  4 Cl 3.34, 8 S 3.37
S: 0.0000 0.5000 0.0000 (multiplicity 2)  2 Ti 2.36
Cl: 0.0000 0.0000 0.5000 (multiplicity 1)  2 Ti 2.40

## Properties
**DOS(E_F)**: 0.763 states/eV per atom



Result of the stability comparison: model P is the least stable of them.



Model P:
Density functional theory data (PBE) for ZrTiS2Cl after structural relaxation.

Cell: 4.7302 4.7302 4.5546 Å, 90.00 90.00 90.00°
Last column: nearest neighbours and their distance in Å.
Space group P4/mmm (No. 123)
One atom of each set of equivalent atoms:
Zr: 0.0000 0.0000 0.0000 (multiplicity 1)  8 S 3.28, 4 Cl 3.34
Ti: 0.5000 0.5000 0.5000 (multiplicity 1)  2 Cl 2.28, 4 S 2.37
S: 0.0000 0.5000 0.5000 (multiplicity 2)  2 Ti 2.37
Cl: 0.5000 0.5000 0.0000 (multiplicity 1)  2 Ti 2.28

## Properties
**DOS(E_F)**: 0.894 states/eV per atom



Model Q:
Density functional theory data (PBE) for ZrTiS2Cl after structural relaxation.

Cell: 4.9876 4.9876 4.9123 Å, 90.00 90.00 90.00°
Last column: nearest neighbours and their distance in Å.
Space group P4/mmm (No. 123)
One atom of each set of equivalent atoms:
Zr: 0.0000 0.0000 0.0000 (multiplicity 1)  2 Cl 2.46, 4 S 2.49
Ti: 0.5000 0.5000 0.5000 (multiplicity 1)  8 S 3.50, 4 Cl 3.53
S: 0.0000 0.5000 0.0000 (multiplicity 2)  2 Zr 2.49
Cl: 0.0000 0.0000 0.5000 (multiplicity 1)  2 Zr 2.46

## Properties
**DOS(E_F)**: 1.411 states/eV per atom



Result of the stability comparison: model Q is the least stable of them.



Model P:
Density functional theory data (PBE) for ZrTiSCl2 after structural relaxation.

Cell: 4.6703 4.6703 4.8621 Å, 90.00 90.00 90.00°
Last column: nearest neighbours and their distance in Å.
Space group P4/mmm (No. 123)
One atom of each set of equivalent atoms:
Zr: 0.0000 0.0000 0.0000 (multiplicity 1)  4 S 3.30, 8 Cl 3.37
Ti: 0.5000 0.5000 0.5000 (multiplicity 1)  4 Cl 2.34, 2 S 2.43
S: 0.5000 0.5000 0.0000 (multiplicity 1)  2 Ti 2.43
Cl: 0.0000 0.5000 0.5000 (multiplicity 2)  2 Ti 2.34

## Properties
**DOS(E_F)**: 1.084 states/eV per atom



Model Q:
Density functional theory data (PBE) for ZrTiSCl2 after structural relaxation.

Cell: 4.9849 4.9849 5.0328 Å, 90.00 90.00 90.00°
Last column: nearest neighbours and their distance in Å.
Space group P4/mmm (No. 123)
One atom of each set of equivalent atoms:
Zr: 0.0000 0.0000 0.0000 (multiplicity 1)  4 Cl 2.49, 2 S 2.52
Ti: 0.5000 0.5000 0.5000 (multiplicity 1)  4 S 3.52, 8 Cl 3.54
S: 0.0000 0.0000 0.5000 (multiplicity 1)  2 Zr 2.52
Cl: 0.0000 0.5000 0.0000 (multiplicity 2)  2 Zr 2.49

## Properties
**DOS(E_F)**: 1.366 states/eV per atom



Result of the stability comparison: model Q is the least stable of them.



Model P:
Density functional theory data (PBE) for TlSCl3 after structural relaxation.

Cell: 5.0389 5.0389 5.0389 Å, 90.00 90.00 90.00°
Last column: nearest neighbours and their distance in Å.
Space group Pm-3m (No. 221)
One atom of each set of equivalent atoms:
Tl: 0.0000 0.0000 0.0000 (multiplicity 1)  12 Cl 3.56
S: 0.5000 0.5000 0.5000 (multiplicity 1)  6 Cl 2.52
Cl: 0.0000 0.5000 0.5000 (multiplicity 3)  2 S 2.52

## Properties
**DOS(E_F)**: 0.198 states/eV per atom



Model Q:
Density functional theory data (PBE) for TlSCl3 after structural relaxation.

Cell: 5.3452 5.3452 5.3452 Å, 90.00 90.00 90.00°
Last column: nearest neighbours and their distance in Å.
Space group Pm-3m (No. 221)
One atom of each set of equivalent atoms:
Tl: 0.0000 0.0000 0.0000 (multiplicity 1)  6 Cl 2.67
S: 0.5000 0.5000 0.5000 (multiplicity 1)  12 Cl 3.78
Cl: 0.0000 0.0000 0.5000 (multiplicity 3)  2 Tl 2.67

## Properties
**DOS(E_F)**: 1.197 states/eV per atom



Result of the stability comparison: model Q is the least stable of them.



Model P:
Density functional theory data (PBE) for Tl3SCl after structural relaxation.

Cell: 4.2097 6.6650 12.3693 Å, 98.73 90.03 108.41°
Last column: nearest neighbours and their distance in Å.
Space group P-1 (No. 2)
One atom of each set of equivalent atoms:
Tl: 0.1025 0.2029 0.2081 (multiplicity 2)  2 S 2.98, 2 Cl 3.30-3.31
Tl: 0.1327 0.2638 0.6040 (multiplicity 2)  3 Cl 3.10-3.13, 1 S 3.16
Tl: 0.3790 0.7567 0.0728 (multiplicity 2)  3 S 2.91-2.97
S: 0.2495 0.5001 0.8495 (multiplicity 2)  6 Tl 2.91-3.16
Cl: 0.3731 0.7453 0.5836 (multiplicity 2)  5 Tl 3.10-3.31



Model Q:
Density functional theory data (PBE) for Tl3SCl after structural relaxation.

Cell: 6.0032 6.0032 6.0032 Å, 90.00 90.00 90.00°
Last column: nearest neighbours and their distance in Å.
Space group Pm-3m (No. 221)
One atom of each set of equivalent atoms:
Tl: 0.0000 0.0000 0.5000 (multiplicity 3)  2 S 3.00
S: 0.0000 0.0000 0.0000 (multiplicity 1)  6 Tl 3.00
Cl: 0.5000 0.5000 0.5000 (multiplicity 1)  12 Tl 4.24

## Properties
**DOS(E_F)**: 0.304 states/eV per atom



Model R:
Density functional theory data (PBE) for Tl3SCl after structural relaxation.

Cell: 13.4861 7.2943 8.0130 Å, 90.00 115.14 90.00°
Last column: nearest neighbours and their distance in Å.
Space group C2/m (No. 12)
One atom of each set of equivalent atoms:
Tl: 0.0687 0.0000 0.2713 (multiplicity 4)  2 S 2.82-3.07
Tl: 0.1676 0.2530 0.7195 (multiplicity 8)  2 S 2.91-3.07, 1 Cl 3.05
S: 0.1683 0.0000 0.0256 (multiplicity 4)  6 Tl 2.82-3.07
Cl: 0.1727 0.5000 0.3474 (multiplicity 4)  2 Tl 3.05



Result of the stability comparison: model Q is the least stable of them.



Model P:
Density functional theory data (PBE) for TlS3Cl after structural relaxation.

Cell: 4.4203 9.1391 9.3000 Å, 116.72 95.42 91.36°
Last column: nearest neighbours and their distance in Å.
Space group P-1 (No. 2)
One atom of each set of equivalent atoms:
Tl: 0.1881 0.3905 0.2714 (multiplicity 2)  3 Cl 2.96-2.97
S: 0.0467 0.8961 0.2163 (multiplicity 2)  2 S 2.07-2.08
S: 0.2758 0.2119 0.7073 (multiplicity 2)  2 S 2.07-2.08
S: 0.3517 0.7176 0.1160 (multiplicity 2)  2 S 2.08
Cl: 0.2862 0.7050 0.5754 (multiplicity 2)  3 Tl 2.96-2.97

## Properties
**DOS(E_F)**: 0.000 states/eV per atom



Model Q:
Density functional theory data (PBE) for TlS3Cl after structural relaxation.

Cell: 4.8490 4.8490 4.8490 Å, 90.00 90.00 90.00°
Last column: nearest neighbours and their distance in Å.
Space group Pm-3m (No. 221)
One atom of each set of equivalent atoms:
Tl: 0.0000 0.0000 0.0000 (multiplicity 1)  12 S 3.43
S: 0.0000 0.5000 0.5000 (multiplicity 3)  2 Cl 2.42
Cl: 0.5000 0.5000 0.5000 (multiplicity 1)  6 S 2.42

## Properties
**DOS(E_F)**: 0.812 states/eV per atom



Result of the stability comparison: model Q is the least stable of them.